1.
# Al2Co (GGA-PBE, relaxed)
data_Al2Co
_chemical_formula_sum 'Al20 Co10'
_symmetry_space_group_name_H-M 'P 1'
_symmetry_Int_Tables_number 1
_cell_length_a 9.0907
_cell_length_b 9.0907
_cell_length_c 4.9017
_cell_angle_alpha 90.00
_cell_angle_beta 90.00
_cell_angle_gamma 90.00
loop_
_symmetry_equiv_pos_as_xyz
'x,y,z'
loop_
_atom_site_label
_atom_site_type_symbol
_atom_site_fract_x
_atom_site_fract_y
_atom_site_fract_z
Al1 Al 0.7531 0.0430 0.0000
Al2 Al 0.4819 0.1390 0.0000
Al3 Al 0.9570 0.2469 0.0000
Al4 Al 0.4045 0.4045 0.0000
Al5 Al 0.1390 0.4819 0.0000
Al6 Al 0.8610 0.5181 0.0000
Al7 Al 0.5955 0.5955 0.0000
Al8 Al 0.0430 0.7531 0.0000
Al9 Al 0.5181 0.8610 0.0000
Al10 Al 0.2469 0.9570 0.0000
Al11 Al 0.6390 0.0181 0.5000
Al12 Al 0.9045 0.0955 0.5000
Al13 Al 0.4570 0.2531 0.5000
Al14 Al 0.9819 0.3610 0.5000
Al15 Al 0.2531 0.4570 0.5000
Al16 Al 0.7469 0.5430 0.5000
Al17 Al 0.0181 0.6390 0.5000
Al18 Al 0.5430 0.7469 0.5000
Al19 Al 0.0955 0.9045 0.5000
Al20 Al 0.3610 0.9819 0.5000
Co1 Co 0.0000 0.0000 0.0000
Co2 Co 0.2088 0.2088 0.2459
Co3 Co 0.7912 0.7912 0.2459
Co4 Co 0.7088 0.2912 0.2541
Co5 Co 0.2912 0.7088 0.2541
Co6 Co 0.5000 0.5000 0.5000
Co7 Co 0.7088 0.2912 0.7459
Co8 Co 0.2912 0.7088 0.7459
Co9 Co 0.2088 0.2088 0.7541
Co10 Co 0.7912 0.7912 0.7541
# - VASP energy: -4.984 eV/atom
# - Theoretical density: 4.63 g/cm³

2.
# Al5Co8 (GGA-PBE, relaxed)
data_Al5Co8
_chemical_formula_sum 'Al5 Co8'
_symmetry_space_group_name_H-M 'P 1'
_symmetry_Int_Tables_number 1
_cell_length_a 8.7214
_cell_length_b 8.7214
_cell_length_c 8.7214
_cell_angle_alpha 31.24
_cell_angle_beta 31.24
_cell_angle_gamma 31.24
loop_
_symmetry_equiv_pos_as_xyz
'x,y,z'
loop_
_atom_site_label
_atom_site_type_symbol
_atom_site_fract_x
_atom_site_fract_y
_atom_site_fract_z
Al1 Al 0.0000 0.0000 0.0000
Al2 Al 0.3482 0.3482 0.3482
Al3 Al 0.4506 0.4506 0.4506
Al4 Al 0.5494 0.5494 0.5494
Al5 Al 0.6518 0.6518 0.6518
Co1 Co 0.0921 0.5819 0.0921
Co2 Co 0.5819 0.0921 0.0921
Co3 Co 0.1629 0.1629 0.1629
Co4 Co 0.9079 0.9079 0.4181
Co5 Co 0.0921 0.0921 0.5819
Co6 Co 0.8371 0.8371 0.8371
Co7 Co 0.4181 0.9079 0.9079
Co8 Co 0.9079 0.4181 0.9079
# - Polymorph energy (0 for the lowest one): 86 meV per atom
# - Theoretical density: 6.36 g/cm³

3.
# Al3Co2 (GGA-PBE, relaxed)
data_Al3Co2
_chemical_formula_sum 'Al18 Co12'
_symmetry_space_group_name_H-M 'P 1'
_symmetry_Int_Tables_number 1
_cell_length_a 8.9144
_cell_length_b 8.9144
_cell_length_c 4.9185
_cell_angle_alpha 90.00
_cell_angle_beta 90.00
_cell_angle_gamma 90.00
loop_
_symmetry_equiv_pos_as_xyz
'x,y,z'
loop_
_atom_site_label
_atom_site_type_symbol
_atom_site_fract_x
_atom_site_fract_y
_atom_site_fract_z
Al1 Al 0.0000 0.0000 0.0000
Al2 Al 0.7344 0.0669 0.0000
Al3 Al 0.4571 0.1500 0.0000
Al4 Al 0.9331 0.2656 0.0000
Al5 Al 0.1500 0.4571 0.0000
Al6 Al 0.8500 0.5429 0.0000
Al7 Al 0.0669 0.7344 0.0000
Al8 Al 0.5429 0.8500 0.0000
Al9 Al 0.2656 0.9331 0.0000
Al10 Al 0.6500 0.0429 0.5000
Al11 Al 0.4331 0.2344 0.5000
Al12 Al 0.9571 0.3500 0.5000
Al13 Al 0.2344 0.4331 0.5000
Al14 Al 0.5000 0.5000 0.5000
Al15 Al 0.7656 0.5669 0.5000
Al16 Al 0.0429 0.6500 0.5000
Al17 Al 0.5669 0.7656 0.5000
Al18 Al 0.3500 0.9571 0.5000
Co1 Co 0.4053 0.4053 0.0000
Co2 Co 0.5947 0.5947 0.0000
Co3 Co 0.6841 0.3159 0.2496
Co4 Co 0.3159 0.6841 0.2496
Co5 Co 0.1841 0.1841 0.2504
Co6 Co 0.8159 0.8159 0.2504
Co7 Co 0.9053 0.0947 0.5000
Co8 Co 0.0947 0.9053 0.5000
Co9 Co 0.1841 0.1841 0.7496
Co10 Co 0.8159 0.8159 0.7496
Co11 Co 0.6841 0.3159 0.7504
Co12 Co 0.3159 0.6841 0.7504
# - VASP energy: -5.210 eV/atom
# - Theoretical density: 5.07 g/cm³

4.
# Al12Co (GGA-PBE, relaxed)
data_Al12Co
_chemical_formula_sum 'Al12 Co1'
_symmetry_space_group_name_H-M 'P 1'
_symmetry_Int_Tables_number 1
_cell_length_a 9.3527
_cell_length_b 9.3527
_cell_length_c 9.3527
_cell_angle_alpha 32.49
_cell_angle_beta 32.49
_cell_angle_gamma 32.49
loop_
_symmetry_equiv_pos_as_xyz
'x,y,z'
loop_
_atom_site_label
_atom_site_type_symbol
_atom_site_fract_x
_atom_site_fract_y
_atom_site_fract_z
Al1 Al 0.5918 0.0922 0.0922
Al2 Al 0.0922 0.5918 0.0922
Al3 Al 0.1650 0.1650 0.1650
Al4 Al 0.3486 0.3486 0.3486
Al5 Al 0.9078 0.9078 0.4082
Al6 Al 0.4519 0.4519 0.4519
Al7 Al 0.5481 0.5481 0.5481
Al8 Al 0.0922 0.0922 0.5918
Al9 Al 0.6514 0.6514 0.6514
Al10 Al 0.8350 0.8350 0.8350
Al11 Al 0.9078 0.4082 0.9078
Al12 Al 0.4082 0.9078 0.9078
Co1 Co 0.0000 0.0000 0.0000
# - VASP energy: -3.999 eV/atom
# - Theoretical density: 3.03 g/cm³

5.
# Al7Co8 (GGA-PBE, relaxed)
data_Al7Co8
_chemical_formula_sum 'Al14 Co16'
_symmetry_space_group_name_H-M 'P 1'
_symmetry_Int_Tables_number 1
_cell_length_a 8.8305
_cell_length_b 8.8305
_cell_length_c 4.6923
_cell_angle_alpha 90.00
_cell_angle_beta 90.00
_cell_angle_gamma 90.00
loop_
_symmetry_equiv_pos_as_xyz
'x,y,z'
loop_
_atom_site_label
_atom_site_type_symbol
_atom_site_fract_x
_atom_site_fract_y
_atom_site_fract_z
Al1 Al 0.0000 0.0000 0.0000
Al2 Al 0.7169 0.0666 0.0000
Al3 Al 0.9334 0.2831 0.0000
Al4 Al 0.3896 0.3896 0.0000
Al5 Al 0.6104 0.6104 0.0000
Al6 Al 0.0666 0.7169 0.0000
Al7 Al 0.2831 0.9334 0.0000
Al8 Al 0.8896 0.1104 0.5000
Al9 Al 0.4334 0.2169 0.5000
Al10 Al 0.2169 0.4334 0.5000
Al11 Al 0.5000 0.5000 0.5000
Al12 Al 0.7831 0.5666 0.5000
Al13 Al 0.5666 0.7831 0.5000
Al14 Al 0.1104 0.8896 0.5000
Co1 Co 0.4601 0.1340 0.0000
Co2 Co 0.1340 0.4601 0.0000
Co3 Co 0.8660 0.5399 0.0000
Co4 Co 0.5399 0.8660 0.0000
Co5 Co 0.6746 0.3254 0.2467
Co6 Co 0.3254 0.6746 0.2467
Co7 Co 0.1746 0.1746 0.2533
Co8 Co 0.8254 0.8254 0.2533
Co9 Co 0.6340 0.0399 0.5000
Co10 Co 0.9601 0.3660 0.5000
Co11 Co 0.0399 0.6340 0.5000
Co12 Co 0.3660 0.9601 0.5000
Co13 Co 0.1746 0.1746 0.7467
Co14 Co 0.8254 0.8254 0.7467
Co15 Co 0.6746 0.3254 0.7533
Co16 Co 0.3254 0.6746 0.7533
# - Polymorph energy (0 for the lowest one): 0 meV per atom
# - Theoretical density: 5.99 g/cm³

6.
# AlCo (GGA-PBE, relaxed)
data_AlCo
_chemical_formula_sum 'Al6 Co6'
_symmetry_space_group_name_H-M 'P 1'
_symmetry_Int_Tables_number 1
_cell_length_a 4.8389
_cell_length_b 4.8389
_cell_length_c 7.3538
_cell_angle_alpha 90.00
_cell_angle_beta 90.00
_cell_angle_gamma 120.00
loop_
_symmetry_equiv_pos_as_xyz
'x,y,z'
loop_
_atom_site_label
_atom_site_type_symbol
_atom_site_fract_x
_atom_site_fract_y
_atom_site_fract_z
Al1 Al 0.0000 0.0000 0.0000
Al2 Al 0.3333 0.6667 0.0675
Al3 Al 0.3333 0.6667 0.4325
Al4 Al 0.0000 0.0000 0.5000
Al5 Al 0.6667 0.3333 0.5675
Al6 Al 0.6667 0.3333 0.9325
Co1 Co 0.3503 0.1751 0.2500
Co2 Co 0.8249 0.1751 0.2500
Co3 Co 0.8249 0.6497 0.2500
Co4 Co 0.1751 0.3503 0.7500
Co5 Co 0.1751 0.8249 0.7500
Co6 Co 0.6497 0.8249 0.7500
# - VASP energy: -5.736 eV/atom
# - Theoretical density: 5.74 g/cm³

7.
# AlCo5 (GGA-PBE, relaxed)
data_AlCo5
_chemical_formula_sum 'Al2 Co10'
_symmetry_space_group_name_H-M 'P 1'
_symmetry_Int_Tables_number 1
_cell_length_a 4.6459
_cell_length_b 4.6459
_cell_length_c 7.4227
_cell_angle_alpha 90.00
_cell_angle_beta 90.00
_cell_angle_gamma 120.28
loop_
_symmetry_equiv_pos_as_xyz
'x,y,z'
loop_
_atom_site_label
_atom_site_type_symbol
_atom_site_fract_x
_atom_site_fract_y
_atom_site_fract_z
Al1 Al 0.8232 0.1768 0.2500
Al2 Al 0.1768 0.8232 0.7500
Co1 Co 0.0000 0.0000 0.0000
Co2 Co 0.3392 0.6608 0.0645
Co3 Co 0.3376 0.1775 0.2500
Co4 Co 0.8225 0.6624 0.2500
Co5 Co 0.3392 0.6608 0.4355
Co6 Co 0.0000 0.0000 0.5000
Co7 Co 0.6608 0.3392 0.5645
Co8 Co 0.1775 0.3376 0.7500
Co9 Co 0.6624 0.8225 0.7500
Co10 Co 0.6608 0.3392 0.9355
# - Polymorph energy (0 for the lowest one): 54 meV per atom
# - Theoretical density: 7.72 g/cm³

8.
# Al5Co (GGA-PBE, relaxed)
data_Al5Co
_chemical_formula_sum 'Al10 Co2'
_symmetry_space_group_name_H-M 'P 1'
_symmetry_Int_Tables_number 1
_cell_length_a 5.3276
_cell_length_b 5.3276
_cell_length_c 7.7978
_cell_angle_alpha 101.62
_cell_angle_beta 101.62
_cell_angle_gamma 107.08
loop_
_symmetry_equiv_pos_as_xyz
'x,y,z'
loop_
_atom_site_label
_atom_site_type_symbol
_atom_site_fract_x
_atom_site_fract_y
_atom_site_fract_z
Al1 Al 0.7462 0.9716 0.0036
Al2 Al 0.7304 0.5028 0.1281
Al3 Al 0.3344 0.6656 0.2500
Al4 Al 0.4972 0.2696 0.3719
Al5 Al 0.0284 0.2538 0.4964
Al6 Al 0.9716 0.7462 0.5036
Al7 Al 0.5028 0.7304 0.6281
Al8 Al 0.6656 0.3344 0.7500
Al9 Al 0.2696 0.4972 0.8719
Al10 Al 0.2538 0.0284 0.9964
Co1 Co 0.0665 0.9335 0.2500
Co2 Co 0.9335 0.0665 0.7500
# - VASP energy: -4.388 eV/atom
# - Theoretical density: 3.23 g/cm³

9.
# Al16Co13 (GGA-PBE, relaxed)
data_Al16Co13
_chemical_formula_sum 'Al16 Co13'
_symmetry_space_group_name_H-M 'P 1'
_symmetry_Int_Tables_number 1
_cell_length_a 7.7826
_cell_length_b 7.7826
_cell_length_c 7.7826
_cell_angle_alpha 109.47
_cell_angle_beta 109.47
_cell_angle_gamma 109.47
loop_
_symmetry_equiv_pos_as_xyz
'x,y,z'
loop_
_atom_site_label
_atom_site_type_symbol
_atom_site_fract_x
_atom_site_fract_y
_atom_site_fract_z
Al1 Al 0.6905 0.0000 0.0000
Al2 Al 0.6905 0.4079 0.0000
Al3 Al 0.4079 0.6905 0.0000
Al4 Al 0.0000 0.6905 0.0000
Al5 Al 0.5921 0.5921 0.2825
Al6 Al 0.3095 0.3095 0.3095
Al7 Al 0.7175 0.3095 0.3095
Al8 Al 0.3095 0.7175 0.3095
Al9 Al 0.6905 0.0000 0.4079
Al10 Al 0.0000 0.6905 0.4079
Al11 Al 0.5921 0.2825 0.5921
Al12 Al 0.2825 0.5921 0.5921
Al13 Al 0.4079 0.0000 0.6905
Al14 Al 0.0000 0.4079 0.6905
Al15 Al 0.0000 0.0000 0.6905
Al16 Al 0.3095 0.3095 0.7175
Co1 Co 0.0000 0.0000 0.0000
Co2 Co 0.3776 0.1928 0.0000
Co3 Co 0.1928 0.3776 0.0000
Co4 Co 0.8072 0.8072 0.1849
Co5 Co 0.3776 0.0000 0.1928
Co6 Co 0.0000 0.3776 0.1928
Co7 Co 0.1928 0.0000 0.3776
Co8 Co 0.0000 0.1928 0.3776
Co9 Co 0.8151 0.6224 0.6224
Co10 Co 0.6224 0.8151 0.6224
Co11 Co 0.8072 0.1849 0.8072
Co12 Co 0.1849 0.8072 0.8072
Co13 Co 0.6224 0.6224 0.8151
# - Polymorph energy (0 for the lowest one): 0 meV per atom
# - Theoretical density: 5.48 g/cm³

10.
# Al9Co4 (GGA-PBE, relaxed)
data_Al9Co4
_chemical_formula_sum 'Al9 Co4'
_symmetry_space_group_name_H-M 'P 1'
_symmetry_Int_Tables_number 1
_cell_length_a 8.7584
_cell_length_b 8.7584
_cell_length_c 8.7584
_cell_angle_alpha 33.75
_cell_angle_beta 33.75
_cell_angle_gamma 33.75
loop_
_symmetry_equiv_pos_as_xyz
'x,y,z'
loop_
_atom_site_label
_atom_site_type_symbol
_atom_site_fract_x
_atom_site_fract_y
_atom_site_fract_z
Al1 Al 0.0000 0.0000 0.0000
Al2 Al 0.5761 0.0766 0.0766
Al3 Al 0.0766 0.5761 0.0766
Al4 Al 0.3528 0.3528 0.3528
Al5 Al 0.9234 0.9234 0.4239
Al6 Al 0.0766 0.0766 0.5761
Al7 Al 0.6472 0.6472 0.6472
Al8 Al 0.9234 0.4239 0.9234
Al9 Al 0.4239 0.9234 0.9234
Co1 Co 0.1674 0.1674 0.1674
Co2 Co 0.4495 0.4495 0.4495
Co3 Co 0.5505 0.5505 0.5505
Co4 Co 0.8326 0.8326 0.8326
# - Polymorph energy (0 for the lowest one): 0 meV per atom
# - Theoretical density: 4.30 g/cm³

11.
# AlCo (GGA-PBE, relaxed)
data_AlCo
_chemical_formula_sum 'Al6 Co6'
_symmetry_space_group_name_H-M 'P 1'
_symmetry_Int_Tables_number 1
_cell_length_a 4.6081
_cell_length_b 4.6081
_cell_length_c 7.9019
_cell_angle_alpha 90.00
_cell_angle_beta 90.00
_cell_angle_gamma 114.46
loop_
_symmetry_equiv_pos_as_xyz
'x,y,z'
loop_
_atom_site_label
_atom_site_type_symbol
_atom_site_fract_x
_atom_site_fract_y
_atom_site_fract_z
Al1 Al 0.0000 0.0000 0.0000
Al2 Al 0.3670 0.1510 0.2500
Al3 Al 0.8490 0.6330 0.2500
Al4 Al 0.0000 0.0000 0.5000
Al5 Al 0.1510 0.3670 0.7500
Al6 Al 0.6330 0.8490 0.7500
Co1 Co 0.3360 0.6640 0.0684
Co2 Co 0.8542 0.1458 0.2500
Co3 Co 0.3360 0.6640 0.4316
Co4 Co 0.6640 0.3360 0.5684
Co5 Co 0.1458 0.8542 0.7500
Co6 Co 0.6640 0.3360 0.9316
# - VASP energy: -5.515 eV/atom
# - Theoretical density: 5.60 g/cm³

12.
# AlCo5 (GGA-PBE, relaxed)
data_AlCo5
_chemical_formula_sum 'Al4 Co20'
_symmetry_space_group_name_H-M 'P 1'
_symmetry_Int_Tables_number 1
_cell_length_a 4.6122
_cell_length_b 4.6122
_cell_length_c 15.1374
_cell_angle_alpha 90.00
_cell_angle_beta 90.00
_cell_angle_gamma 120.00
loop_
_symmetry_equiv_pos_as_xyz
'x,y,z'
loop_
_atom_site_label
_atom_site_type_symbol
_atom_site_fract_x
_atom_site_fract_y
_atom_site_fract_z
Al1 Al 0.0000 0.0000 0.0962
Al2 Al 0.0000 0.0000 0.4038
Al3 Al 0.0000 0.0000 0.5962
Al4 Al 0.0000 0.0000 0.9038
Co1 Co 0.5000 0.0000 0.0000
Co2 Co 0.0000 0.5000 0.0000
Co3 Co 0.5000 0.5000 0.0000
Co4 Co 0.3333 0.6667 0.1271
Co5 Co 0.6667 0.3333 0.1617
Co6 Co 0.1617 0.3233 0.2500
Co7 Co 0.1617 0.8383 0.2500
Co8 Co 0.6767 0.8383 0.2500
Co9 Co 0.6667 0.3333 0.3383
Co10 Co 0.3333 0.6667 0.3729
Co11 Co 0.5000 0.0000 0.5000
Co12 Co 0.0000 0.5000 0.5000
Co13 Co 0.5000 0.5000 0.5000
Co14 Co 0.6667 0.3333 0.6271
Co15 Co 0.3333 0.6667 0.6617
Co16 Co 0.3233 0.1617 0.7500
Co17 Co 0.8383 0.1617 0.7500
Co18 Co 0.8383 0.6767 0.7500
Co19 Co 0.3333 0.6667 0.8383
Co20 Co 0.6667 0.3333 0.8729
# - Polymorph energy (0 for the lowest one): 0 meV per atom
# - Theoretical density: 7.66 g/cm³

> Among the records above, which one has the highest theoretical density?

number 7

Repeat the third record exactly.
# Al3Co2 (GGA-PBE, relaxed)
data_Al3Co2
_chemical_formula_sum 'Al18 Co12'
_symmetry_space_group_name_H-M 'P 1'
_symmetry_Int_Tables_number 1
_cell_length_a 8.9144
_cell_length_b 8.9144
_cell_length_c 4.9185
_cell_angle_alpha 90.00
_cell_angle_beta 90.00
_cell_angle_gamma 90.00
loop_
_symmetry_equiv_pos_as_xyz
'x,y,z'
loop_
_atom_site_label
_atom_site_type_symbol
_atom_site_fract_x
_atom_site_fract_y
_atom_site_fract_z
Al1 Al 0.0000 0.0000 0.0000
Al2 Al 0.7344 0.0669 0.0000
Al3 Al 0.4571 0.1500 0.0000
Al4 Al 0.9331 0.2656 0.0000
Al5 Al 0.1500 0.4571 0.0000
Al6 Al 0.8500 0.5429 0.0000
Al7 Al 0.0669 0.7344 0.0000
Al8 Al 0.5429 0.8500 0.0000
Al9 Al 0.2656 0.9331 0.0000
Al10 Al 0.6500 0.0429 0.5000
Al11 Al 0.4331 0.2344 0.5000
Al12 Al 0.9571 0.3500 0.5000
Al13 Al 0.2344 0.4331 0.5000
Al14 Al 0.5000 0.5000 0.5000
Al15 Al 0.7656 0.5669 0.5000
Al16 Al 0.0429 0.6500 0.5000
Al17 Al 0.5669 0.7656 0.5000
Al18 Al 0.3500 0.9571 0.5000
Co1 Co 0.4053 0.4053 0.0000
Co2 Co 0.5947 0.5947 0.0000
Co3 Co 0.6841 0.3159 0.2496
Co4 Co 0.3159 0.6841 0.2496
Co5 Co 0.1841 0.1841 0.2504
Co6 Co 0.8159 0.8159 0.2504
Co7 Co 0.9053 0.0947 0.5000
Co8 Co 0.0947 0.9053 0.5000
Co9 Co 0.1841 0.1841 0.7496
Co10 Co 0.8159 0.8159 0.7496
Co11 Co 0.6841 0.3159 0.7504
Co12 Co 0.3159 0.6841 0.7504
# - VASP energy: -5.210 eV/atom
# - Theoretical density: 5.07 g/cm³

Please write out number 10 again, unchanged.
# Al9Co4 (GGA-PBE, relaxed)
data_Al9Co4
_chemical_formula_sum 'Al9 Co4'
_symmetry_space_group_name_H-M 'P 1'
_symmetry_Int_Tables_number 1
_cell_length_a 8.7584
_cell_length_b 8.7584
_cell_length_c 8.7584
_cell_angle_alpha 33.75
_cell_angle_beta 33.75
_cell_angle_gamma 33.75
loop_
_symmetry_equiv_pos_as_xyz
'x,y,z'
loop_
_atom_site_label
_atom_site_type_symbol
_atom_site_fract_x
_atom_site_fract_y
_atom_site_fract_z
Al1 Al 0.0000 0.0000 0.0000
Al2 Al 0.5761 0.0766 0.0766
Al3 Al 0.0766 0.5761 0.0766
Al4 Al 0.3528 0.3528 0.3528
Al5 Al 0.9234 0.9234 0.4239
Al6 Al 0.0766 0.0766 0.5761
Al7 Al 0.6472 0.6472 0.6472
Al8 Al 0.9234 0.4239 0.9234
Al9 Al 0.4239 0.9234 0.9234
Co1 Co 0.1674 0.1674 0.1674
Co2 Co 0.4495 0.4495 0.4495
Co3 Co 0.5505 0.5505 0.5505
Co4 Co 0.8326 0.8326 0.8326
# - Polymorph energy (0 for the lowest one): 0 meV per atom
# - Theoretical density: 4.30 g/cm³